Entry 1:
Density functional theory data (PBE-GGA) for a relaxed AcHg6Pb6 crystal.

Lattice parameters (Å, degrees): 6.6708 6.6708 10.4640 90.00 90.00 120.00
Space group P6/mmm (No. 191)
One atom of each set of equivalent atoms:
Ac  0.0000  0.0000  0.0000 (multiplicity 1)
Hg  0.0000  0.0000  0.3548 (multiplicity 2)
Hg  0.3333  0.6667  0.0000 (multiplicity 2)
Hg  0.3333  0.6667  0.5000 (multiplicity 2)
Pb  0.0000  0.5000  0.2378 (multiplicity 6)

Computed properties:
* ΔH_f (0 K): -0.04 eV per atom
* raw total energy: -2.204 eV per atom


Entry 2:
Density functional theory data (PBE-GGA) for a relaxed AcHgPb4 crystal.

Lattice parameters (Å, degrees): 9.240 9.240 9.240 90.00 90.00 90.00
Space group F-43m (No. 216)
One atom of each set of equivalent atoms:
Ac  0.000  0.000  0.000 (multiplicity 4)
Hg  0.250  0.250  0.250 (multiplicity 4)
Pb  0.126  0.126  0.626 (multiplicity 16)

Computed properties:
* ΔH_f (0 K): -0.17 eV per atom
* raw total energy: -3.378 eV per atom


Entry 3:
Density functional theory data (PBE-GGA) for a relaxed Ac3Hg2Pb4 crystal.

Lattice parameters (Å, degrees): 12.810 4.998 9.786 90.00 103.34 90.00
Space group C2/m (No. 12)
One atom of each set of equivalent atoms:
Ac  0.000  0.000  0.000 (multiplicity 2)
Ac  0.161  0.500  0.663 (multiplicity 4)
Hg  0.059  0.500  0.227 (multiplicity 4)
Pb  0.089  0.000  0.416 (multiplicity 4)
Pb  0.249  0.000  0.904 (multiplicity 4)

Computed properties:
* ΔH_f (0 K): -0.44 eV per atom
* raw total energy: -3.527 eV per atom


Entry 4:
Density functional theory data (PBE-GGA) for a relaxed Ac2Hg3Pb crystal.

Lattice parameters (Å, degrees): 8.005 10.346 17.889 90.00 90.00 90.00
Space group Fmmm (No. 69)
One atom of each set of equivalent atoms:
Ac  0.244  0.000  0.000 (multiplicity 8)
Ac  0.250  0.250  0.250 (multiplicity 8)
Hg  0.000  0.000  0.164 (multiplicity 8)
Hg  0.000  0.247  0.082 (multiplicity 16)
Pb  0.000  0.000  0.334 (multiplicity 8)

Computed properties:
* ΔH_f (0 K): -0.45 eV per atom
* raw total energy: -2.591 eV per atom


Entry 5:
Density functional theory data (PBE-GGA) for a relaxed Ac5Hg2Pb crystal.

Lattice parameters (Å, degrees): 9.134 9.134 14.307 90.00 90.00 90.00
Space group I4/mcm (No. 140)
One atom of each set of equivalent atoms:
Ac  0.000  0.000  0.000 (multiplicity 4)
Ac  0.156  0.344  0.147 (multiplicity 16)
Hg  0.138  0.362  0.500 (multiplicity 8)
Pb  0.000  0.000  0.250 (multiplicity 4)

Computed properties:
* ΔH_f (0 K): -0.39 eV per atom
* raw total energy: -3.493 eV per atom


Entry 6:
Density functional theory data (PBE-GGA) for a relaxed Ac4Hg3Pb5 crystal.

Lattice parameters (Å, degrees): 15.057 5.347 13.947 90.00 122.17 90.00
Space group C2/m (No. 12)
One atom of each set of equivalent atoms:
Ac  0.084  0.000  0.317 (multiplicity 4)
Ac  0.141  0.000  0.014 (multiplicity 4)
Hg  0.000  0.500  0.500 (multiplicity 2)
Hg  0.246  0.000  0.596 (multiplicity 4)
Pb  0.000  0.000  0.500 (multiplicity 2)
Pb  0.087  0.500  0.136 (multiplicity 4)
Pb  0.094  0.500  0.815 (multiplicity 4)

Computed properties:
* ΔH_f (0 K): -0.17 eV per atom
* raw total energy: -3.162 eV per atom


Entry 7:
Density functional theory data (PBE-GGA) for a relaxed Ac5Hg2Pb5 crystal.

Lattice parameters (Å, degrees): 17.643 4.989 12.238 90.00 128.77 90.00
Space group C2/m (No. 12)
One atom of each set of equivalent atoms:
Ac  0.000  0.000  0.000 (multiplicity 2)
Ac  0.105  0.000  0.410 (multiplicity 4)
Ac  0.194  0.000  0.823 (multiplicity 4)
Hg  0.135  0.500  0.218 (multiplicity 4)
Pb  0.000  0.500  0.500 (multiplicity 2)
Pb  0.069  0.500  0.854 (multiplicity 4)
Pb  0.235  0.500  0.663 (multiplicity 4)

Computed properties:
* ΔH_f (0 K): -0.49 eV per atom
* raw total energy: -3.802 eV per atom


Entry 8:
Density functional theory data (PBE-GGA) for a relaxed Ac2Hg2Pb crystal.

Lattice parameters (Å, degrees): 12.273 4.958 12.036 90.00 116.11 90.00
Space group C2/m (No. 12)
One atom of each set of equivalent atoms:
Ac  0.005  0.000  0.332 (multiplicity 4)
Ac  0.182  0.000  0.100 (multiplicity 4)
Hg  0.045  0.500  0.894 (multiplicity 4)
Hg  0.139  0.500  0.551 (multiplicity 4)
Pb  0.214  0.500  0.326 (multiplicity 4)

Computed properties:
* energy above the lowest structure with this stoichiometry: 0.0211 eV per atom
* ΔH_f (0 K): -0.45 eV per atom
* raw total energy: -2.960 eV per atom


Entry 9:
Density functional theory data (PBE-GGA) for a relaxed Ac2Hg3Pb3 crystal.

Lattice parameters (Å, degrees): 4.921 4.955 10.018 90.00 90.00 90.00
Space group Pmmm (No. 47)
One atom of each set of equivalent atoms:
Ac  0.000  0.000  0.249 (multiplicity 2)
Hg  0.000  0.500  0.000 (multiplicity 1)
Hg  0.000  0.500  0.500 (multiplicity 1)
Hg  0.500  0.000  0.000 (multiplicity 1)
Pb  0.500  0.000  0.500 (multiplicity 1)
Pb  0.500  0.500  0.244 (multiplicity 2)

Computed properties:
* energy above the lowest structure with this stoichiometry: 0.0073 eV per atom
* ΔH_f (0 K): -0.40 eV per atom
* raw total energy: -2.927 eV per atom


Entry 10:
Density functional theory data (PBE-GGA) for a relaxed Ac3Hg3Pb crystal.

Lattice parameters (Å, degrees): 10.844 10.801 8.145 90.00 90.26 90.00
Space group C2/m (No. 12)
One atom of each set of equivalent atoms:
Ac  0.080  0.000  0.242 (multiplicity 4)
Ac  0.247  0.192  0.757 (multiplicity 8)
Hg  0.000  0.236  0.500 (multiplicity 4)
Hg  0.000  0.248  0.000 (multiplicity 4)
Hg  0.141  0.500  0.939 (multiplicity 4)
Pb  0.144  0.500  0.554 (multiplicity 4)

Computed properties:
* energy above the lowest structure with this stoichiometry: 0.0423 eV per atom
* ΔH_f (0 K): -0.36 eV per atom
* raw total energy: -2.780 eV per atom


Entry 11:
Density functional theory data (PBE-GGA) for a relaxed AcHg4Pb2 crystal.

Lattice parameters (Å, degrees): 5.202 5.202 7.893 90.00 90.00 90.00
Space group P4/mmm (No. 123)
One atom of each set of equivalent atoms:
Ac  0.000  0.000  0.000 (multiplicity 1)
Hg  0.000  0.500  0.280 (multiplicity 4)
Pb  0.000  0.000  0.500 (multiplicity 1)
Pb  0.500  0.500  0.000 (multiplicity 1)

Computed properties:
* ΔH_f (0 K): -0.22 eV per atom
* raw total energy: -2.040 eV per atom


Entry 12:
Density functional theory data (PBE-GGA) for a relaxed Ac2HgPb crystal.

Lattice parameters (Å, degrees): 5.647 5.647 4.349 90.00 90.00 90.00
Space group P4/mmm (No. 123)
One atom of each set of equivalent atoms:
Ac  0.000  0.500  0.000 (multiplicity 2)
Hg  0.000  0.000  0.500 (multiplicity 1)
Pb  0.500  0.500  0.500 (multiplicity 1)

Computed properties:
* energy above the lowest structure with this stoichiometry: 0.0000 eV per atom
* ΔH_f (0 K): -0.49 eV per atom
* raw total energy: -3.550 eV per atom


Entry 13:
Density functional theory data (PBE-GGA) for a relaxed AcHg12Pb6 crystal.

Lattice parameters (Å, degrees): 13.9807 13.9807 10.1657 90.00 90.00 120.00
Space group R-3m (No. 166, hexagonal axes)
One atom of each set of equivalent atoms:
Ac  0.0000  0.0000  0.0000 (multiplicity 3)
Hg  0.0000  0.3951  0.5000 (multiplicity 18)
Hg  0.0770  0.1539  0.2762 (multiplicity 18)
Pb  0.0556  0.5278  0.2189 (multiplicity 18)

Computed properties:
* ΔH_f (0 K): 0.01 eV per atom
* raw total energy: -1.566 eV per atom


Entry 14:
Density functional theory data (PBE-GGA) for a relaxed Ac3Hg3Pb crystal.

Lattice parameters (Å, degrees): 10.2533 10.2533 5.2079 90.00 90.00 120.00
Space group P6_3/m (No. 176)
One atom of each set of equivalent atoms:
Ac  0.1006  0.4308  0.2500 (multiplicity 6)
Hg  0.0336  0.2068  0.7500 (multiplicity 6)
Pb  0.3333  0.6667  0.7500 (multiplicity 2)

Computed properties:
* energy above the lowest structure with this stoichiometry: 0.0000 eV per atom
* ΔH_f (0 K): -0.40 eV per atom
* raw total energy: -2.822 eV per atom


Entry 15:
Density functional theory data (PBE-GGA) for a relaxed Ac3Hg2Pb crystal.

Lattice parameters (Å, degrees): 4.023 4.023 12.647 90.00 90.00 90.00
Space group P4/mmm (No. 123)
One atom of each set of equivalent atoms:
Ac  0.000  0.000  0.000 (multiplicity 1)
Ac  0.000  0.000  0.325 (multiplicity 2)
Hg  0.500  0.500  0.158 (multiplicity 2)
Pb  0.500  0.500  0.500 (multiplicity 1)

Computed properties:
* energy above the lowest structure with this stoichiometry: 0.0045 eV per atom
* ΔH_f (0 K): -0.47 eV per atom
* raw total energy: -3.245 eV per atom


Entry 16:
Density functional theory data (PBE-GGA) for a relaxed AcHgPb2 crystal.

Lattice parameters (Å, degrees): 4.136 4.136 7.481 90.00 90.00 90.00
Space group P4/mmm (No. 123)
One atom of each set of equivalent atoms:
Ac  0.000  0.000  0.000 (multiplicity 1)
Hg  0.000  0.000  0.500 (multiplicity 1)
Pb  0.500  0.500  0.286 (multiplicity 2)

Computed properties:
* energy above the lowest structure with this stoichiometry: 0.1999 eV per atom
* ΔH_f (0 K): -0.20 eV per atom
* raw total energy: -3.154 eV per atom


Entry 17:
Density functional theory data (PBE-GGA) for a relaxed Ac2Hg4Pb crystal.

Lattice parameters (Å, degrees): 5.684 5.684 16.548 90.00 90.00 90.00
Space group I4/mmm (No. 139)
One atom of each set of equivalent atoms:
Ac  0.000  0.000  0.119 (multiplicity 4)
Hg  0.000  0.000  0.314 (multiplicity 4)
Hg  0.000  0.500  0.000 (multiplicity 4)
Pb  0.000  0.000  0.500 (multiplicity 2)

Computed properties:
* energy above the lowest structure with this stoichiometry: 0.3696 eV per atom
* ΔH_f (0 K): -0.03 eV per atom
* raw total energy: -1.908 eV per atom


Entry 18:
Density functional theory data (PBE-GGA) for a relaxed AcHg5Pb2 crystal.

Lattice parameters (Å, degrees): 4.935 4.935 18.715 90.00 90.00 90.00
Space group I4/mmm (No. 139)
One atom of each set of equivalent atoms:
Ac  0.000  0.000  0.000 (multiplicity 2)
Hg  0.000  0.000  0.500 (multiplicity 2)
Hg  0.000  0.500  0.126 (multiplicity 8)
Pb  0.000  0.000  0.246 (multiplicity 4)

Computed properties:
* energy above the lowest structure with this stoichiometry: 0.0000 eV per atom
* ΔH_f (0 K): -0.24 eV per atom
* raw total energy: -1.864 eV per atom


Entry 19:
Density functional theory data (PBE-GGA) for a relaxed Ac3HgPb5 crystal.

Lattice parameters (Å, degrees): 8.5474 8.5474 4.8458 90.00 90.00 120.00
Space group P-62m (No. 189)
One atom of each set of equivalent atoms:
Ac  0.0000  0.3865  0.0000 (multiplicity 3)
Hg  0.0000  0.0000  0.0000 (multiplicity 1)
Pb  0.0000  0.7458  0.5000 (multiplicity 3)
Pb  0.3333  0.6667  0.5000 (multiplicity 2)

Computed properties:
* ΔH_f (0 K): -0.43 eV per atom
* raw total energy: -3.895 eV per atom


Entry 20:
Density functional theory data (PBE-GGA) for a relaxed Ac2HgPb crystal.

Lattice parameters (Å, degrees): 6.711 4.784 9.545 90.00 109.43 90.00
Space group P2_1/m (No. 11)
One atom of each set of equivalent atoms:
Ac  0.196  0.250  0.425 (multiplicity 2)
Ac  0.282  0.750  0.062 (multiplicity 2)
Hg  0.131  0.250  0.793 (multiplicity 2)
Pb  0.382  0.750  0.708 (multiplicity 2)

Computed properties:
* energy above the lowest structure with this stoichiometry: 0.0051 eV per atom
* ΔH_f (0 K): -0.49 eV per atom
* raw total energy: -3.545 eV per atom


Entry 21:
Density functional theory data (PBE-GGA) for a relaxed AcHg5Pb2 crystal.

Lattice parameters (Å, degrees): 8.394 8.394 13.360 90.00 90.00 90.00
Space group I4/mcm (No. 140)
One atom of each set of equivalent atoms:
Ac  0.000  0.000  0.250 (multiplicity 4)
Hg  0.000  0.000  0.000 (multiplicity 4)
Hg  0.141  0.359  0.165 (multiplicity 16)
Pb  0.152  0.348  0.500 (multiplicity 8)

Computed properties:
* energy above the lowest structure with this stoichiometry: 0.0917 eV per atom
* ΔH_f (0 K): -0.14 eV per atom
* raw total energy: -1.773 eV per atom


Entry 22:
Density functional theory data (PBE-GGA) for a relaxed Ac2Hg4Pb crystal.

Lattice parameters (Å, degrees): 5.5122 5.5122 24.3973 90.00 90.00 120.00
Space group R-3m (No. 166, hexagonal axes)
One atom of each set of equivalent atoms:
Ac  0.0000  0.0000  0.2297 (multiplicity 6)
Hg  0.0000  0.0000  0.0634 (multiplicity 6)
Hg  0.0000  0.0000  0.3667 (multiplicity 6)
Pb  0.0000  0.0000  0.5000 (multiplicity 3)

Computed properties:
* energy above the lowest structure with this stoichiometry: 0.0000 eV per atom
* ΔH_f (0 K): -0.40 eV per atom
* raw total energy: -2.277 eV per atom